18
Lattice="1.586 -6.719 0.000 1.586 6.719 0.000 0.000 0.000 10.256" Properties=species:S:1:pos:R:3 comment="Ca2VZnO5 PBE with a Hubbard U relaxed" crystal_system=orthorhombic space_group="Cmc2_1 (36)" final_energy_ev_per_fu=-58.28 pbc="T T T"
Ca 1.586 5.078 5.128
Ca 1.586 5.036 0.339
Ca 1.586 -5.036 5.467
Ca 1.586 -5.078 0.000
V 1.586 3.593 8.015
V 1.586 -3.593 2.887
Zn 1.586 0.171 2.522
Zn 1.586 -0.171 7.650
O 1.586 5.552 8.181
O 1.586 3.010 1.578
O 1.586 2.975 4.211
O 1.586 1.772 8.246
O 1.586 0.009 5.677
O 1.586 -0.009 0.549
O 1.586 -1.772 3.118
O 1.586 -2.975 9.339
O 1.586 -3.010 6.706
O 1.586 -5.552 3.053